# 1
TaTe2Se | GGA-PBE | optimized geometry

Properties
V (Å³/cell): 537.04
Uncorrected formation energy (meV per atom): 462
Density of states at the Fermi level (states/eV/cell): 17.70

a b c (Å): 7.0041 7.0041 10.9474
angles (deg): 90.00 90.00 90.00
With the nearest neighbours (Å) after each atom.
Space group I-42d (No. 122)
Unique sites:
Ta  0.0000  0.0000  0.0000 x4  4 Te 2.66
Te  0.2099  0.2500  0.1250 x8  2 Ta 2.66
Se  0.0000  0.0000  0.5000 x4  4 Te 3.01

=====

# 2
PrMnCuC | GGA-PBE | optimized geometry

Properties
V (Å³/cell): 122.87
DFT formation energy (meV/atom): -85.1
Density of states at the Fermi level (states/eV/cell): 4.50

a b c (Å): 3.4249 3.4249 10.4751
angles (deg): 90.00 90.00 90.00
With the nearest neighbours (Å) after each atom.
Space group P4/nmm (No. 129, origin choice 2)
Unique sites:
Pr  0.2500  0.2500  0.2463 x2  4 C 2.85, 4 Mn 3.10, 4 Cu 3.16
Mn  0.2500  0.7500  0.0000 x2  4 C 2.02
Cu  0.2500  0.7500  0.5000 x2  4 Cu 2.42
C  0.2500  0.2500  0.8976 x2  4 Mn 2.02

=====

# 3
SrInSe2N | GGA-PBE | optimized geometry

Properties
V (Å³/cell): 157.94
Distance to the lowest polymorph of the same formula (eV/f.u.): 4.321
Uncorrected formation energy (meV per atom): 661
Density of states at the Fermi level (states/eV/cell): 9.25

a b c (Å): 5.8862 5.8862 4.5586
angles (deg): 90.00 90.00 90.00
With the nearest neighbours (Å) after each atom.
Space group P4/mmm (No. 123)
Unique sites:
Sr  0.0000  0.0000  0.0000 x1  2 N 2.28
In  0.5000  0.5000  0.5000 x1  8 Se 3.72, 4 N 4.16
Se  0.0000  0.5000  0.0000 x2  2 Sr 2.94
N  0.0000  0.0000  0.5000 x1  2 Sr 2.28

=====

# 4
MgBeHg | GGA-PBE | optimized geometry

Properties
V (Å³/cell): 52.23
DFT formation energy (meV/atom): 131.7
Distance to the lowest polymorph of the same formula (eV/f.u.): 0.063
Density of states at the Fermi level (states/eV/cell): 0.67

a b c (Å): 4.2866 4.2866 3.2825
angles (deg): 90.00 90.00 120.00
With the nearest neighbours (Å) after each atom.
Space group P-6m2 (No. 187)
Unique sites:
Mg  0.0000  0.0000  0.0000 x1  6 Hg 2.97, 6 Be 2.97, 2 Mg 3.28
Be  0.3333  0.6667  0.5000 x1  3 Hg 2.47
Hg  0.6667  0.3333  0.5000 x1  3 Be 2.47

=====

Among the records above, which one has the lowest density of states at the Fermi level? MgBeHg